Entry 1:
Mo2PtRh2 after structural relaxation, computed with PBE.

Unit cell a=7.5446 b=7.5446 c=2.7788 alpha=90.00 beta=90.00 gamma=90.00
Closest atoms and distances in Å follow each position.
Space group P4/mbm (No. 127)
Unique sites:
Mo 0.1213 0.3787 0.0000  3 Mo 2.59-2.78, 6 Rh 2.62-2.63
Pt 0.0000 0.0000 0.0000  2 Pt 2.78, 4 Mo 3.00
Rh 0.1707 0.6707 0.5000  6 Mo 2.62-2.63, 2 Rh 2.78

Values from the calculation:
density	12.4	g/cm³
spin magnetization	0.000	μB/f.u.
formation enthalpy at 0 K	33	kJ/mol of formula units
Fermi-level density of states	4.49	states/eV/f.u.
ΔE to the lowest computed polymorph	285.9	meV per atom

Entry 2:
Y2ZrCu6 after structural relaxation, computed with PBE.

Unit cell a=7.4414 b=7.4414 c=3.2495 alpha=90.00 beta=90.00 gamma=120.00
Closest atoms and distances in Å follow each position.
Space group P6/mmm (No. 191)
Unique sites:
Y 0.3333 0.6667 0.0000  12 Cu 2.98, 2 Y 3.25
Zr 0.0000 0.0000 0.0000  12 Cu 2.94, 2 Zr 3.25
Cu 0.0000 0.3295 0.5000  3 Cu 2.45-2.54

Values from the calculation:
density	6.9	g/cm³
spin magnetization	0.000	μB/f.u.
formation enthalpy at 0 K	-155	kJ/mol of formula units
Fermi-level density of states	4.91	states/eV/f.u.

Entry 3:
Rb3TlIn2Br9 after structural relaxation, computed with PBE.

Unit cell a=7.9049 b=7.9049 c=11.1406 alpha=90.00 beta=90.00 gamma=120.00
Closest atoms and distances in Å follow each position.
Space group P-3m1 (No. 164)
Unique sites:
Rb 0.0000 0.0000 0.0000  12 Br 3.90-3.95
Rb 0.3333 0.6667 0.7480  9 Br 3.62-3.97
Tl 0.0000 0.0000 0.5000  6 Br 3.28
In 0.3333 0.6667 0.1614  6 Br 2.70-2.91
Br 0.0000 0.5000 0.0000  2 In 2.91
Br 0.1641 0.3282 0.2859  1 In 2.70

Values from the calculation:
density	3.9	g/cm³
spin magnetization	0.000	μB/f.u.
ΔE_f (raw)	-113	kJ/mol of atoms
Fermi-level density of states	2.93	states/eV/f.u.

Entry 4:
Sr2LaReO8 after structural relaxation, computed with PBE.

Unit cell a=4.5398 b=5.4675 c=6.8301 alpha=89.97 beta=71.53 gamma=89.96
Closest atoms and distances in Å follow each position.
Space group P-1 (No. 2)
Unique sites:
Sr 0.1234 0.0011 0.2055  6 O 2.44-2.67
La 0.5000 0.5000 0.5000  8 O 2.57-2.80
Re 0.5000 0.5000 0.0000  6 O 1.88-1.98
O 0.1572 0.5015 0.2649  1 Re 1.98
O 0.3148 0.2624 0.8788  1 Re 1.88
O 0.3237 0.7444 0.8790  1 Re 1.88
O 0.3445 0.9767 0.4940  1 O 1.46

Values from the calculation:
density	6.5	g/cm³
spin magnetization	0.000	μB/f.u.
ΔE_f (raw)	-220	kJ/mol of atoms

Entry 5:
CuAg6Pd8 after structural relaxation, computed with PBE.

Unit cell a=7.4797 b=7.4797 c=5.5252 alpha=90.00 beta=90.00 gamma=120.00
Closest atoms and distances in Å follow each position.
Space group P-3 (No. 147)
Unique sites:
Cu 0.0000 0.0000 0.0000  6 Ag 2.65
Ag 0.0433 0.6781 0.1089  1 Cu 2.65, 3 Ag 2.69-2.85, 5 Pd 2.70-2.93
Pd 0.0205 0.3397 0.3999  4 Ag 2.70-2.93, 5 Pd 2.70-2.96
Pd 0.3333 0.6667 0.7162  6 Pd 2.70-2.96, 3 Ag 2.87

Values from the calculation:
density	9.7	g/cm³
spin magnetization	0.000	μB/f.u.
formation enthalpy at 0 K	297	kJ/mol of formula units
Fermi-level density of states	14.02	states/eV/f.u.

Entry 6:
Cs4AgAu2 after structural relaxation, computed with PBE.

Unit cell a=6.0511 b=6.0511 c=32.6038 alpha=90.00 beta=90.00 gamma=120.00
Closest atoms and distances in Å follow each position.
Space group R-3m (No. 166, hexagonal axes)
Unique sites:
Cs 0.0000 0.0000 0.1199  3 Au 3.75, 3 Ag 3.81
Cs 0.0000 0.0000 0.2928  4 Au 3.70-3.86
Ag 0.0000 0.0000 0.5000  2 Au 2.89
Au 0.0000 0.0000 0.4113  1 Ag 2.89

Values from the calculation:
density	5.0	g/cm³
spin magnetization	0.000	μB/f.u.
formation enthalpy at 0 K	-118	kJ/mol of formula units
Fermi-level density of states	4.30	states/eV/f.u.
ΔE to the lowest computed polymorph	0.0	meV per atom

Entry 7:
Na2CuP2 after structural relaxation, computed with PBE.

Unit cell a=5.6277 b=14.1060 c=5.0529 alpha=90.00 beta=90.00 gamma=90.00
Closest atoms and distances in Å follow each position.
Space group Cmcm (No. 63)
Unique sites:
Na 0.0000 0.0726 0.2500  6 P 3.09-3.13, 4 Cu 3.25, 4 Na 3.25-3.45
Na 0.0000 0.2860 0.7500  6 P 2.93-3.10, 2 Cu 3.27
Cu 0.0000 0.5000 0.0000  4 P 2.35, 2 Cu 2.53
P 0.2031 0.3848 0.2500  1 P 2.29, 2 Cu 2.35

Values from the calculation:
density	2.8	g/cm³
spin magnetization	0.000	μB/f.u.
formation enthalpy at 0 K	-119	kJ/mol of formula units
Fermi-level density of states	2.30	states/eV/f.u.
ΔE to the lowest computed polymorph	15.3	meV per atom

Entry 8:
LuZrCuRu after structural relaxation, computed with PBE.

Unit cell a=6.6417 b=6.6417 c=6.6417 alpha=90.00 beta=90.00 gamma=90.00
Closest atoms and distances in Å follow each position.
Space group F-43m (No. 216)
Unique sites:
Lu 0.0000 0.0000 0.0000  4 Cu 2.88, 4 Ru 2.88
Zr 0.0000 0.0000 0.5000  4 Ru 2.88, 4 Cu 2.88
Cu 0.2500 0.2500 0.7500  4 Zr 2.88, 4 Lu 2.88
Ru 0.2500 0.2500 0.2500  4 Zr 2.88, 4 Lu 2.88

Values from the calculation:
density	9.8	g/cm³
spin magnetization	0.004	μB/f.u.
formation enthalpy at 0 K	-147	kJ/mol of formula units
Fermi-level density of states	3.31	states/eV/f.u.

Entry 9:
NpMn2Ag2S6 after structural relaxation, computed with PBE.

Unit cell a=6.4661 b=10.8590 c=6.5534 alpha=90.00 beta=102.43 gamma=90.00
Closest atoms and distances in Å follow each position.
Space group C2/m (No. 12)
Unique sites:
Np 0.0000 0.0000 0.0000  6 S 2.65-2.69
Mn 0.0000 0.3336 0.0000  6 S 2.43-2.61
Ag 0.0000 0.1369 0.5000  2 S 2.55
S 0.1865 0.5000 0.2107  2 Mn 2.43, 1 Np 2.69
S 0.2122 0.1811 0.2227  2 Mn 2.43-2.61, 1 Ag 2.55, 1 Np 2.65

Values from the calculation:
density	5.6	g/cm³
spin magnetization	11.024	μB/f.u.
ΔE_f (raw)	-59	kJ/mol of atoms
Fermi-level density of states	7.50	states/eV/f.u.

Entry 10:
Pm8Te4HIr3 after structural relaxation, computed with PBE.

Unit cell a=8.3739 b=8.3739 c=22.3496 alpha=90.00 beta=90.00 gamma=120.00
Closest atoms and distances in Å follow each position.
Space group R-3m (No. 166, hexagonal axes)
Unique sites:
Pm 0.0000 0.0000 0.2364  3 Ir 2.88
Pm 0.0091 0.5046 0.7633  2 Ir 2.85, 1 H 2.94, 1 Te 3.19
Te 0.0000 0.0000 0.0000  6 Pm 3.19
Te 0.0000 0.5000 0.0000  6 Pm 3.25-3.27
H 0.0000 0.0000 0.5000  6 Pm 2.94
Ir 0.0000 0.5000 0.5000  6 Pm 2.85-2.88

Values from the calculation:
density	8.3	g/cm³
spin magnetization	0.000	μB/f.u.
Fermi-level density of states	8.33	states/eV/f.u.
uncorrected energy	-6.01	eV/atom

Entry 11:
Er5TlSe4 after structural relaxation, computed with PBE.

Unit cell a=9.2107 b=9.2107 c=5.8142 alpha=90.00 beta=90.00 gamma=90.00
Closest atoms and distances in Å follow each position.
Space group I4/m (No. 87)
Unique sites:
Er 0.0000 0.0000 0.0000  2 Tl 2.91, 4 Se 2.92
Er 0.1005 0.3044 0.5000  5 Se 2.88-2.92, 1 Tl 2.95
Tl 0.0000 0.0000 0.5000  6 Er 2.91-2.95
Se 0.1007 0.3010 0.0000  6 Er 2.88-2.92

Values from the calculation:
density	9.1	g/cm³
spin magnetization	0.000	μB/f.u.
ΔE_f (raw)	-138	kJ/mol of atoms
Fermi-level density of states	3.45	states/eV/f.u.

Entry 12:
PuTc4P2 after structural relaxation, computed with PBE.

Unit cell a=7.4483 b=7.4483 c=3.9289 alpha=90.00 beta=90.00 gamma=90.00
Closest atoms and distances in Å follow each position.
Space group P4_2/mnm (No. 136)
Unique sites:
Pu 0.0000 0.0000 0.0000  6 P 2.98-3.02, 12 Tc 3.26-3.33
Tc 0.0825 0.3396 0.5000  3 P 2.40-2.52
P 0.2133 0.7867 0.5000  6 Tc 2.40-2.52

Values from the calculation:
density	10.6	g/cm³
spin magnetization	5.246	μB/f.u.
formation enthalpy at 0 K	-405	kJ/mol of formula units
Fermi-level density of states	10.86	states/eV/f.u.
ΔE to the lowest computed polymorph	0.0	meV per atom

Entry 13:
AgSn2Pd after structural relaxation, computed with PBE.

Unit cell a=3.4468 b=3.4468 c=7.0283 alpha=90.00 beta=90.00 gamma=90.00
Closest atoms and distances in Å follow each position.
Space group P4/mmm (No. 123)
Unique sites:
Ag 0.0000 0.0000 0.0000  8 Sn 3.08, 4 Ag 3.45
Sn 0.5000 0.5000 0.2681  4 Pd 2.93, 4 Ag 3.08, 1 Sn 3.26
Pd 0.0000 0.0000 0.5000  8 Sn 2.93

Values from the calculation:
density	9.0	g/cm³
spin magnetization	0.000	μB/f.u.
formation enthalpy at 0 K	-59	kJ/mol of formula units
Fermi-level density of states	1.42	states/eV/f.u.
ΔE to the lowest computed polymorph	20.9	meV per atom

Entry 14:
Pr4Er5Sc2 after structural relaxation, computed with PBE.

Unit cell a=18.4274 b=5.3711 c=7.0644 alpha=90.00 beta=96.60 gamma=90.00
Closest atoms and distances in Å follow each position.
Space group C2/m (No. 12)
Unique sites:
Pr 0.0592 0.0000 0.2048  2 Sc 3.33, 3 Pr 3.42-3.64, 5 Er 3.57-3.64
Pr 0.1827 0.5000 0.3798  1 Sc 3.50, 7 Er 3.50-3.71, 4 Pr 3.64-3.91
Er 0.0000 0.5000 0.5000  2 Sc 3.24, 2 Pr 3.57
Er 0.1291 0.0000 0.6974  2 Sc 3.37, 5 Er 3.57-3.75, 5 Pr 3.57-3.71
Er 0.2490 0.0000 0.1316  5 Er 3.27-3.62, 1 Sc 3.30, 4 Pr 3.50-3.59
Sc 0.0767 0.5000 0.9359  1 Sc 3.07, 4 Er 3.24-3.37, 2 Pr 3.33

Values from the calculation:
density	7.1	g/cm³
spin magnetization	0.000	μB/f.u.
formation enthalpy at 0 K	79	kJ/mol of formula units
Fermi-level density of states	17.74	states/eV/f.u.
ΔE to the lowest computed polymorph	0.0	meV per atom

Entry 15:
MoOsBr after structural relaxation, computed with PBE.

Unit cell a=3.0885 b=5.0242 c=13.9596 alpha=90.00 beta=90.00 gamma=90.00
Closest atoms and distances in Å follow each position.
Space group Fmm2 (No. 42)
Unique sites:
Mo 0.0000 0.0000 0.0000  2 Os 2.47
Os 0.0000 0.0000 0.3618  2 Mo 2.47
Br 0.0000 0.0000 0.6684  2 Mo 2.81, 6 Br 2.95-3.09, 2 Os 3.11

Values from the calculation:
density	11.2	g/cm³
spin magnetization	0.000	μB/f.u.
ΔE_f (raw)	86	kJ/mol of atoms
Fermi-level density of states	3.09	states/eV/f.u.
ΔE to the lowest computed polymorph	328.4	meV per atom

Entry 16:
Sr6Ru3O14 after structural relaxation, computed with PBE.

Unit cell a=8.9426 b=8.9426 c=5.3755 alpha=90.00 beta=90.00 gamma=120.00
Closest atoms and distances in Å follow each position.
Space group P3 (No. 143)
Unique sites:
Sr 0.0036 0.5570 0.0000  4 O 2.42-2.63
Sr 0.3001 0.0859 0.5282  7 O 2.44-2.70
Ru 0.0000 0.0000 0.9746  4 O 1.81-1.84
Ru 0.3333 0.6667 0.4352  4 O 1.80-1.82
Ru 0.6667 0.3333 0.3513  6 O 2.01-2.03
O 0.0000 0.0000 0.3116  1 Ru 1.81
O 0.0622 0.8552 0.8196  1 Ru 1.84
O 0.1999 0.4562 0.2921  1 Ru 1.82
O 0.3333 0.6667 0.7706  1 Ru 1.80
O 0.4544 0.1952 0.1370  1 Ru 2.03
O 0.5256 0.4050 0.5575  1 Ru 2.01

Values from the calculation:
density	4.7	g/cm³
spin magnetization	6.140	μB/f.u.
ΔE_f (raw)	-188	kJ/mol of atoms
Fermi-level density of states	10.29	states/eV/f.u.

Entry 17:
ZrGeS after structural relaxation, computed with PBE.

Unit cell a=3.6546 b=3.6546 c=8.1059 alpha=90.00 beta=90.00 gamma=90.00
Closest atoms and distances in Å follow each position.
Space group P4/nmm (No. 129, origin choice 2)
Unique sites:
Zr 0.2500 0.2500 0.2242  5 S 2.72-2.79, 4 Ge 2.89
Ge 0.2500 0.7500 0.5000  4 Ge 2.58, 4 Zr 2.89
S 0.2500 0.2500 0.8797  5 Zr 2.72-2.79

Values from the calculation:
density	6.0	g/cm³
spin magnetization	0.000	μB/f.u.
ΔE_f (raw)	-110	kJ/mol of atoms
Fermi-level density of states	0.55	states/eV/f.u.
ΔE to the lowest computed polymorph	0.0	meV per atom

Entry 18:
TbSm4Y2Sc after structural relaxation, computed with PBE.

Unit cell a=5.0545 b=5.0545 c=9.9726 alpha=90.00 beta=90.00 gamma=90.00
Closest atoms and distances in Å follow each position.
Space group P4/mmm (No. 123)
Unique sites:
Tb 0.0000 0.0000 0.0000  4 Y 3.57, 8 Sm 3.59
Sm 0.0000 0.5000 0.2554  2 Sc 3.51, 4 Y 3.51-3.59, 4 Sm 3.57, 2 Tb 3.59
Y 0.0000 0.0000 0.5000  8 Sm 3.51, 4 Sc 3.57
Y 0.5000 0.5000 0.0000  4 Tb 3.57, 8 Sm 3.59
Sc 0.5000 0.5000 0.5000  8 Sm 3.51, 4 Y 3.57

Values from the calculation:
density	6.4	g/cm³
spin magnetization	0.000	μB/f.u.
formation enthalpy at 0 K	23	kJ/mol of formula units
Fermi-level density of states	11.73	states/eV/f.u.

Entry 19:
Zn2CrPt after structural relaxation, computed with PBE.

Unit cell a=2.9135 b=3.6113 c=5.6234 alpha=90.00 beta=90.00 gamma=90.00
Closest atoms and distances in Å follow each position.
Space group Pmmm (No. 47)
Unique sites:
Zn 0.0000 0.0000 0.2468  4 Pt 2.70, 4 Cr 2.72, 4 Zn 2.78-2.91
Cr 0.5000 0.5000 0.5000  8 Zn 2.72, 2 Pt 2.81, 2 Cr 2.91
Pt 0.5000 0.5000 0.0000  8 Zn 2.70, 2 Cr 2.81, 2 Pt 2.91

Values from the calculation:
density	10.6	g/cm³
spin magnetization	3.841	μB/f.u.
formation enthalpy at 0 K	-62	kJ/mol of formula units
Fermi-level density of states	1.43	states/eV/f.u.

Entry 20:
CaAg2Pt2 after structural relaxation, computed with PBE.

Unit cell a=4.0294 b=4.0294 c=12.7280 alpha=90.00 beta=90.00 gamma=90.00
Closest atoms and distances in Å follow each position.
Space group I4/mmm (No. 139)
Unique sites:
Ca 0.0000 0.0000 0.0000  8 Pt 3.12
Ag 0.0000 0.5000 0.2500  4 Pt 2.78, 4 Ag 2.85
Pt 0.0000 0.0000 0.4008  1 Pt 2.53, 4 Ag 2.78

Values from the calculation:
density	10.4	g/cm³
spin magnetization	0.000	μB/f.u.
formation enthalpy at 0 K	-151	kJ/mol of formula units
Fermi-level density of states	0.10	states/eV/f.u.
ΔE to the lowest computed polymorph	0.0	meV per atom

Entry 21:
Er2Co3Sn2 after structural relaxation, computed with PBE.

Unit cell a=8.1930 b=8.1930 c=8.1930 alpha=90.00 beta=90.00 gamma=90.00
Closest atoms and distances in Å follow each position.
Space group I2_13 (No. 199)
Unique sites:
Er 0.0076 0.0076 0.0076  3 Co 2.64
Co 0.0000 0.2500 0.2190  2 Sn 2.53, 2 Er 2.64, 4 Co 2.73
Sn 0.2048 0.2952 0.7048  3 Co 2.53

Values from the calculation:
density	9.0	g/cm³
spin magnetization	0.001	μB/f.u.
formation enthalpy at 0 K	-112	kJ/mol of formula units
Fermi-level density of states	8.55	states/eV/f.u.

Entry 22:
Mo8W after structural relaxation, computed with PBE.

Unit cell a=7.9291 b=7.9291 c=4.6455 alpha=90.00 beta=90.00 gamma=90.00
Closest atoms and distances in Å follow each position.
Space group I4/mmm (No. 139)
Unique sites:
Mo 0.0000 0.3337 0.0000  3 Mo 2.64-2.65, 1 W 2.65
Mo 0.1664 0.1664 0.5000  4 Mo 2.64-2.65
W 0.0000 0.0000 0.0000  4 Mo 2.65

Values from the calculation:
density	10.8	g/cm³
spin magnetization	0.000	μB/f.u.
formation enthalpy at 0 K	273	kJ/mol of formula units
Fermi-level density of states	6.06	states/eV/f.u.
ΔE to the lowest computed polymorph	335.9	meV per atom